## A
PBE YHgH2, relaxed; V = 13.90 A^3/atom; crystal system = cubic; spin magnetization = 0.00 μB/cell
1.0
0.0000 3.0296 3.0296
3.0296 0.0000 3.0296
3.0296 3.0296 0.0000
Y H Hg
1 2 1
direct
0.0000 0.0000 0.0000
0.2500 0.2500 0.2500
0.7500 0.7500 0.7500
0.5000 0.5000 0.5000

## B
PBE YHgH2, relaxed; V = 16.85 A^3/atom; crystal system = tetragonal; spin magnetization = 0.00 μB/cell
1.0
4.7158 0.0000 0.0000
0.0000 4.7158 0.0000
2.3579 2.3579 6.0601
Y H Hg
2 4 2
direct
0.5000 0.5000 0.0000
0.2500 0.7500 0.5000
0.5159 0.1250 0.2500
0.2341 0.6250 0.2500
0.3750 0.4841 0.7500
0.8750 0.7659 0.7500
0.0000 0.0000 0.0000
0.7500 0.2500 0.5000

Name the most stable of them. B.

## A
PBE YHgH2, relaxed; V = 14.88 A^3/atom; crystal system = monoclinic; spin magnetization = 0.00 μB/cell
1.0
-2.8840 2.2412 0.1294
-3.1672 -4.0152 -1.0469
0.5047 -1.9784 6.0605
Y Hg H
2 2 4
direct
0.8091 0.2500 0.1540
0.1909 0.7500 0.8460
0.3801 0.2500 0.5946
0.6199 0.7500 0.4054
0.7054 0.9824 0.8878
0.2946 0.4824 0.1122
0.2946 0.0176 0.1122
0.7054 0.5176 0.8878

## B
PBE YHgH2, relaxed; V = 14.98 A^3/atom; crystal system = triclinic; spin magnetization = 0.00 μB/cell
1.0
3.5951 -0.0033 -0.0093
0.0123 5.1858 0.0313
0.0427 1.4176 6.4359
Y Hg H
2 2 4
direct
0.7508 0.2931 0.8549
0.2492 0.7069 0.1451
0.2506 0.7735 0.6109
0.7494 0.2265 0.3891
0.2514 0.0299 0.8649
0.7486 0.9701 0.1351
0.2498 0.3548 0.0261
0.7502 0.6452 0.9739

Name the most stable of them. A.

## A
PBE ZnHgH2, relaxed; V = 12.06 A^3/atom; crystal system = cubic; spin magnetization = 0.00 μB/cell
1.0
3.9670 -0.0691 -0.9783
2.4574 -2.8290 1.6300
1.4770 -3.0126 -2.3328
H Zn Hg
2 1 1
direct
0.2500 0.2500 0.2500
0.7500 0.7500 0.7500
0.0000 0.0000 0.0000
0.5000 0.5000 0.5000

## B
PBE ZnHgH2, relaxed; V = 15.20 A^3/atom; crystal system = cubic; spin magnetization = 0.00 μB/cell
1.0
5.5605 0.0000 0.0000
0.0000 5.5605 0.0000
2.7803 2.7803 3.9332
H Zn Hg
4 2 2
direct
0.3754 0.1250 0.2500
0.3746 0.6250 0.2500
0.3750 0.6246 0.7500
0.8750 0.6254 0.7500
0.5000 0.5000 0.0000
0.2500 0.7500 0.5000
0.0000 0.0000 0.0000
0.7500 0.2500 0.5000

Name the most stable of them. B.

## A
PBE Zr2HgH, relaxed; V = 17.12 A^3/atom; crystal system = monoclinic; spin magnetization = 0.00 μB/cell
1.0
-4.1247 2.4258 2.5527
-3.9083 -2.9161 2.8262
0.9695 -1.1145 5.8106
Zr Hg H
4 2 2
direct
0.4088 0.8032 0.2476
0.0912 0.4492 0.2476
0.5912 0.1968 0.7524
0.9088 0.5508 0.7524
0.7500 0.1288 0.2423
0.2500 0.8712 0.7577
0.7500 0.4975 0.5050
0.2500 0.5025 0.4950

## B
PBE Zr2HgH, relaxed; V = 20.02 A^3/atom; crystal system = tetragonal; spin magnetization = 0.00 μB/cell
1.0
-5.1191 -0.8357 -1.6381
-1.1881 -2.1953 4.8328
-4.5503 3.3660 3.4714
H Hg Zr
2 2 4
direct
0.5000 0.5000 0.0000
0.2500 0.7500 0.5000
0.0000 0.0000 0.0000
0.7500 0.2500 0.5000
0.4508 0.1250 0.2500
0.2992 0.6250 0.2500
0.3750 0.5492 0.7500
0.8750 0.7008 0.7500

## C
PBE Zr2HgH, relaxed; V = 17.38 A^3/atom; crystal system = trigonal; spin magnetization = 0.00 μB/cell
1.0
3.2645 0.0000 0.0000
1.6322 2.8271 0.0000
1.6322 0.9424 7.5330
H Hg Zr
1 1 2
direct
0.0000 0.0000 0.0000
0.5000 0.5000 0.5000
0.2753 0.2753 0.1741
0.7247 0.7247 0.8259

## D
PBE Zr2HgH, relaxed; V = 17.44 A^3/atom; crystal system = trigonal; spin magnetization = 0.00 μB/cell
1.0
3.2716 0.0000 0.0000
1.6358 2.8333 0.0000
1.6358 0.9444 7.5264
Zr Hg H
2 1 1
direct
0.0581 0.0581 0.8257
0.2758 0.2758 0.1727
0.5002 0.5002 0.4995
0.6660 0.6660 0.0020

Name the most stable of them. A.

## A
PBE ZrHgH2, relaxed; V = 12.32 A^3/atom; crystal system = cubic; spin magnetization = 0.00 μB/cell
1.0
-3.6620 -0.2343 1.8628
-2.6358 3.1512 -0.2398
-3.4313 -0.3538 -2.2442
H Hg Zr
2 1 1
direct
0.2500 0.2500 0.2500
0.7500 0.7500 0.7500
0.5000 0.5000 0.5000
0.0000 0.0000 0.0000

## B
PBE ZrHgH2, relaxed; V = 13.67 A^3/atom; crystal system = trigonal; spin magnetization = 0.00 μB/cell
1.0
-3.1767 -0.7131 0.8318
-2.2958 -0.4939 -2.4036
-0.6090 -5.8606 -0.5630
Zr Hg H
1 1 2
direct
0.6733 0.6733 0.9802
0.4960 0.4960 0.5121
0.0333 0.0333 0.9001
0.2975 0.2975 0.1076

## C
PBE ZrHgH2, relaxed; V = 13.88 A^3/atom; crystal system = tetragonal; spin magnetization = 0.00 μB/cell
1.0
4.4493 0.0000 0.0000
0.0000 4.4493 0.0000
2.2247 2.2247 5.6096
H Hg Zr
4 2 2
direct
0.5077 0.1250 0.2500
0.2423 0.6250 0.2500
0.3750 0.4923 0.7500
0.8750 0.7577 0.7500
0.0000 0.0000 0.0000
0.7500 0.2500 0.5000
0.5000 0.5000 0.0000
0.2500 0.7500 0.5000

Name the most stable of them. B.

## A
PBE HoInH, relaxed; V = 19.60 A^3/atom; crystal system = orthorhombic; spin magnetization = 0.00 μB/cell
1.0
-3.6675 -3.1606 -3.7431
2.9304 -3.7089 3.8868
-5.0521 0.6344 4.4144
H Ho In
4 4 4
direct
0.3971 0.3971 0.1016
0.1029 0.1029 0.6016
0.6029 0.6029 0.8984
0.8971 0.8971 0.3984
0.1818 0.1818 0.3083
0.6818 0.6818 0.1917
0.3182 0.3182 0.8083
0.8182 0.8182 0.6917
0.2240 0.7760 0.0000
0.7760 0.2240 0.0000
0.7240 0.2760 0.5000
0.2760 0.7240 0.5000

## B
PBE HoInH, relaxed; V = 19.43 A^3/atom; crystal system = tetragonal; spin magnetization = 0.28 μB/cell
1.0
-0.1876 -3.1650 0.0616
0.0569 -0.0651 -3.1700
5.8516 1.2743 1.6651
H Ho In
1 1 1
direct
0.2654 0.2654 0.5308
0.7290 0.7290 0.4580
0.0056 0.0056 0.0112

## C
PBE HoInH, relaxed; V = 19.78 A^3/atom; crystal system = trigonal; spin magnetization = 0.00 μB/cell
1.0
-3.8566 -1.5113 -3.3334
1.0945 -3.4072 0.2785
-2.4658 1.2843 2.2705
H Ho In
1 1 1
direct
0.1680 0.6667 0.3333
0.1660 0.0000 0.0000
0.6660 0.3333 0.6667

Name the most stable of them. C.

## A
PBE HoHIr, relaxed; V = 15.28 A^3/atom; crystal system = hexagonal; spin magnetization = 0.00 μB/cell
1.0
3.4828 0.0000 0.0000
0.0000 3.8985 0.0000
0.0000 -1.9492 3.3762
H Ir Ho
1 1 1
direct
0.1668 0.6667 0.3333
0.1666 0.0000 0.0000
0.6666 0.3333 0.6667

## B
PBE HoHIr, relaxed; V = 16.71 A^3/atom; crystal system = monoclinic; spin magnetization = 0.00 μB/cell
1.0
-1.6932 -2.5828 -2.2128
-0.2782 -2.3671 2.9758
-6.1987 2.4956 1.8303
H Ir Ho
2 2 2
direct
0.2500 0.7520 0.0019
0.7500 0.2480 0.9981
0.2500 0.7328 0.5036
0.7500 0.2672 0.4964
0.2500 0.2314 0.1946
0.7500 0.7686 0.8054

Name the most stable of them. B.

## A
PBE LiHoH, relaxed; V = 16.18 A^3/atom; crystal system = monoclinic; spin magnetization = 0.00 μB/cell
1.0
-1.1852 -2.9573 -1.4024
3.7508 -3.6362 4.4978
-8.0728 1.8362 2.9505
H Ho Li
4 4 4
direct
0.2500 0.5525 0.3561
0.7500 0.9475 0.6439
0.7500 0.4475 0.6439
0.2500 0.0525 0.3561
0.2500 0.6970 0.6436
0.7500 0.8030 0.3564
0.7500 0.3030 0.3564
0.2500 0.1970 0.6436
0.2500 0.9167 0.0839
0.7500 0.5833 0.9161
0.7500 0.0833 0.9161
0.2500 0.4167 0.0839

## B
PBE LiHoH, relaxed; V = 18.04 A^3/atom; crystal system = trigonal; spin magnetization = 0.02 μB/cell
1.0
-0.8329 -1.6656 2.7552
1.4264 -1.5996 -2.5428
5.1001 1.0693 2.1882
H Ho Li
1 1 1
direct
0.3333 0.6667 0.6474
0.6667 0.3333 0.4318
0.0000 0.0000 0.9208

Name the most stable of them. A.